A geometry-optimized PrYZr structure. Source: the Alexandria database, functional PBE.

Cell: 3.430 4.819 10.909 Å, 90.00 98.79 90.00°
Space group P2_1/m (No. 11)
Symmetry-distinct sites (fractional):
Pr 0.058 0.250 0.100 x2
Y 0.357 0.250 0.725 x2
Zr 0.218 0.250 0.432 x2

Values from the calculation:
energy of formation: 0.144 eV/atom
calculated volume: 29.7 Å³/atom
offset from the most stable computed form: 4.51 kJ/mol of atoms

A geometry-optimized PrYZr structure. Source: the Alexandria database, functional PBE.

Cell: 6.029 3.480 17.236 Å, 90.00 96.68 90.00°
Space group C2/m (No. 12)
Symmetry-distinct sites (fractional):
Pr 0.135 0.000 0.408 x4
Y 0.242 0.500 0.227 x4
Zr 0.143 0.500 0.930 x4

Values from the calculation:
energy of formation: 0.097 eV/atom
calculated volume: 29.9 Å³/atom
offset from the most stable computed form: 0.00 kJ/mol of atoms

A geometry-optimized Pr12Y6Zr structure. Source: the Alexandria database, functional PBE.

Cell: 15.8560 15.8560 8.9210 Å, 90.00 90.00 120.00°
Space group R-3 (No. 148, hexagonal axes)
Symmetry-distinct sites (fractional):
Pr 0.0355 0.7542 0.3376 x18
Pr 0.0764 0.5123 0.6662 x18
Y 0.0171 0.8816 0.6721 x18
Zr 0.0000 0.0000 0.0000 x3

Values from the calculation:
energy of formation: 0.037 eV/atom
calculated volume: 34.1 Å³/atom